Here is an optimized crystal structure of LaBe2ZnSn from Alexandria via LeMat-Bulk. Energies are from PBE.

Values from the calculation:
* SG: P4/mmm
* calculated formation energy: 1.29 eV per formula unit
* volume: 21.01 Å³/atom

Structure (extended XYZ):
```
5
Lattice="4.481 0.000 0.000 0.000 5.233 0.000 0.000 0.000 4.481" Properties=species:S:1:pos:R:3 pbc="T T T"
La 2.240 2.616 2.240
Sn 0.000 2.616 0.000
Zn 0.000 0.000 0.000
Be 0.000 0.000 2.240
Be 2.240 0.000 0.000
```